A plane-wave DFT calculation with PBE was carried out for an optimized crystal structure of Ti3FeNi2.

Lattice parameters (Å, degrees): 4.274 12.827 2.934 90.00 90.00 90.00
Space group Cmmm (No. 65)
Asymmetric unit:
Ti: 0.000 0.000 0.000 [2 per cell]
Ti: 0.000 0.336 0.000 [4 per cell]
Fe: 0.000 0.500 0.500 [2 per cell]
Ni: 0.000 0.161 0.500 [4 per cell]

Properties
- energy of formation (eV/atom) = -0.36
- V (Å³/cell) = 161
- E_tot (eV/atom) = -7.644
- polymorph energy (0 for the lowest one) (kJ/mol of atoms) = 0.9